First-principles (PBE) data for a relaxed MgSbP2 crystal, as listed in Alexandria.

a b c (Å): 3.729 4.902 5.051
angles (deg): 75.57 90.00 90.00
Fractional positions:
P: 0.000 0.430 0.574
P: 0.000 0.070 0.926
Sb: 0.500 0.250 0.250
Mg: 0.500 0.750 0.750

Values from the calculation:
Its density of states at the Fermi level is 1.676 states/eV/f.u. As for the space group: P2/m, No. 10. As for the crystal system: monoclinic. The value obtained for the uncorrected formation energy is -2.22 kcal/mol of atoms. The raw total energy comes out at -4.23 eV/atom. The value obtained for the calculated volume is 89 Å³/f.u. Its offset from the most stable computed form is 29 meV/atom.